# ErSc2As3 (PBE, relaxed)
# - DOS(E_F): 0.183 states/eV per atom
# - Calculated density: 6.11 g/cm³
# - Total DFT energy (no corrections): -6.61 eV/atom
data_ErSc2As3
_chemical_formula_sum 'Er2 Sc4 As6'
_symmetry_space_group_name_H-M 'I m m m'
_symmetry_Int_Tables_number 71
_symmetry_space_group_name_Hall '-I 2 2'
_cell_length_a 3.949
_cell_length_b 5.602
_cell_length_c 11.835
_cell_angle_alpha 90.00
_cell_angle_beta 90.00
_cell_angle_gamma 90.00
loop_
_atom_site_label
_atom_site_type_symbol
_atom_site_fract_x
_atom_site_fract_y
_atom_site_fract_z
Er1 Er 0.000 0.000 0.000
Sc1 Sc 0.000 0.000 0.335
As1 As 0.000 0.500 0.000
As2 As 0.000 0.500 0.326